Below is a relaxed CePa5Tc3 crystal, with properties calculated at the PBE-GGA level.

a b c (Å): 11.101 8.353 10.513
angles (deg): 90.00 111.91 90.00
Space group C2/m (No. 12)
Symmetry-distinct sites (fractional):
Ce1 0.006 0.000 0.255 x4
Pa1 0.000 0.312 0.500 x4
Pa2 0.014 0.500 0.836 x4
Pa3 0.197 0.219 0.137 x8
Pa4 0.224 0.500 0.371 x4
Tc1 0.000 0.000 0.000 x2
Tc2 0.000 0.000 0.500 x2
Tc3 0.192 0.500 0.626 x4
Tc4 0.247 0.500 0.051 x4

Summary:
The crystal system is monoclinic. The value obtained for the formation energy is 0.098 eV/atom. The value obtained for the calculated total energy is -9.292 eV/atom.

***

Below is a relaxed Ce3Pa2Tc4 crystal, with properties calculated at the PBE-GGA level.

a b c (Å): 10.821 4.343 8.811
angles (deg): 90.00 98.87 90.00
Space group C2/m (No. 12)
Symmetry-distinct sites (fractional):
Ce1 0.000 0.000 0.000 x2
Ce2 0.125 0.500 0.388 x4
Pa1 0.176 0.500 0.780 x4
Tc1 0.087 0.000 0.642 x4
Tc2 0.204 0.500 0.097 x4

Summary:
The crystal system is monoclinic. The value obtained for the formation energy is -0.139 eV/atom. The value obtained for the calculated total energy is -8.834 eV/atom.

***

Below is a relaxed CePaTc4 crystal, with properties calculated at the PBE-GGA level.

a b c (Å): 7.634 7.634 7.634
angles (deg): 90.00 90.00 90.00
Space group F-43m (No. 216)
Symmetry-distinct sites (fractional):
Ce1 0.000 0.000 0.000 x4
Pa1 0.250 0.250 0.250 x4
Tc1 0.125 0.125 0.625 x16

Summary:
The crystal system is cubic. The value obtained for the formation energy is -0.103 eV/atom. The value obtained for the calculated total energy is -9.585 eV/atom.